Density functional theory data (GGA-PBE) for an optimized crystal structure of CuMo2.

```
12
Lattice="-0.6470 -5.1220 0.8727 1.5600 -2.1005 4.5354 -7.3599 1.4777 3.2160" Properties=species:S:1:pos:R:3 pbc="T T T"
Mo 0.0000 0.0000 0.0000
Mo -3.6800 0.7389 1.6080
Mo -0.9316 -1.8904 3.9212
Mo -5.5153 -3.8544 4.7030
Mo -1.6820 -0.8800 1.7396
Mo -1.9933 -3.3438 2.1594
Mo -4.4537 -2.4010 6.4648
Mo -4.7649 -4.8648 6.8846
Cu 0.0405 -4.7010 3.8537
Cu -3.9438 -1.5546 3.6590
Cu -6.4874 -1.0439 4.7705
Cu -2.5031 -4.1903 4.9652
```

Output
Energy above the lowest structure with this stoichiometry, meV per atom: 423.0
Symmetry: No. 194
M_tot, μB per cell: 0.0
Energy, eV per atom: -7.939

=====

Density functional theory data (GGA-PBE) for an optimized crystal structure of CuMo2.

```
3
Lattice="-3.4342 2.6664 -1.0490 -0.0436 -2.2979 3.8369 1.1604 1.9620 1.1882" Properties=species:S:1:pos:R:3 pbc="T T T"
Cu 0.0000 0.0000 0.0000
Mo -0.7682 0.0428 2.6237
Mo -1.5494 2.2877 1.3524
```

Output
Energy above the lowest structure with this stoichiometry, meV per atom: 0.0
Symmetry: No. 164
M_tot, μB per cell: 0.0
Energy, eV per atom: -8.362

=====

Density functional theory data (GGA-PBE) for an optimized crystal structure of CuMo2.

```
12
Lattice="5.2308 0.0000 0.0000 0.0000 4.2140 0.0000 0.0000 0.0000 7.9955" Properties=species:S:1:pos:R:3 pbc="T T T"
Mo 0.6636 1.0535 1.7481
Mo 0.7058 1.0535 4.4008
Mo 1.9096 3.1605 0.4031
Mo 1.9518 3.1605 5.7459
Mo 3.2790 1.0535 2.2496
Mo 3.3212 1.0535 7.5924
Mo 4.5250 3.1605 3.5947
Mo 4.5672 3.1605 6.2474
Cu 0.7392 1.0535 7.0652
Cu 1.8762 3.1605 3.0675
Cu 3.3546 1.0535 4.9280
Cu 4.4916 3.1605 0.9303
```

Output
Energy above the lowest structure with this stoichiometry, meV per atom: 2.9
Symmetry: No. 62
M_tot, μB per cell: 0.0
Energy, eV per atom: -8.359

=====

Density functional theory data (GGA-PBE) for an optimized crystal structure of CuMo3.

```
4
Lattice="2.6353 0.0000 0.0000 0.0000 2.6353 0.0000 0.0000 0.0000 8.7229" Properties=species:S:1:pos:R:3 pbc="T T T"
Cu 0.0000 0.0000 0.0000
Mo 0.0000 0.0000 4.3615
Mo 1.3176 1.3176 2.0377
Mo 1.3176 1.3176 6.6852
```

Output
Symmetry: No. 123
M_tot, μB per cell: 0.0
Energy, eV per atom: -8.885

=====

Number 1: ΔE_f 0.647 eV/atom. Number 2: ΔE_f 0.224 eV/atom. Number 3: ΔE_f 0.227 eV/atom. Number 4: ΔE_f 0.263 eV/atom.